[1]
Computed, not measured: a relaxed YLuHgAu crystal at the PBE level of DFT.

The space group is F-43m (No. 216) and the conventional cell measures 7.256, 7.256 and 7.256 Å, with angles of 90.00, 90.00 and 90.00 degrees. The asymmetric unit holds Y at (0.000, 0.000, 0.000), Lu at (0.000, 0.000, 0.500), Hg at (0.250, 0.250, 0.750) and Au at (0.250, 0.250, 0.250).

The total DFT energy (no corrections) is -0.1585 hartree per atom.

[2]
Computed, not measured: a relaxed LuZrHgAu crystal at the PBE level of DFT.

The space group is F-43m (No. 216) and the conventional cell measures 7.066, 7.066 and 7.066 Å, with angles of 90.00, 90.00 and 90.00 degrees. The asymmetric unit holds Lu at (0.000, 0.000, 0.000), Zr at (0.000, 0.000, 0.500), Hg at (0.250, 0.250, 0.250) and Au at (0.250, 0.250, 0.750).

The total DFT energy (no corrections) is -0.1689 hartree per atom.

[3]
Computed, not measured: a relaxed Mg2HgAu crystal at the PBE level of DFT.

The space group is Pmm2 (No. 25) and the conventional cell measures 3.733, 3.753 and 5.811 Å, with angles of 90.00, 90.00 and 90.00 degrees. The asymmetric unit holds Mg at (0.000, 0.000, 0.000), Mg at (0.500, 0.500, 0.313), Hg at (0.000, 0.000, 0.510) and Au at (0.500, 0.500, 0.831).

The total DFT energy (no corrections) is -0.0744 hartree per atom.

[4]
Computed, not measured: a relaxed Mg2Hg2Au crystal at the PBE level of DFT.

The space group is P4/mbm (No. 127) and the conventional cell measures 7.372, 7.372 and 4.057 Å, with angles of 90.00, 90.00 and 90.00 degrees. The asymmetric unit holds Mg at (0.156, 0.344, 0.000), Hg at (0.150, 0.650, 0.500) and Au at (0.000, 0.000, 0.000).

The total DFT energy (no corrections) is -0.0585 hartree per atom. Its offset from the most stable computed form is 0.033 eV per atom.

[5]
Computed, not measured: a relaxed MgHg2Au2 crystal at the PBE level of DFT.

The space group is P4/mbm (No. 127) and the conventional cell measures 7.223, 7.223 and 4.100 Å, with angles of 90.00, 90.00 and 90.00 degrees. The asymmetric unit holds Mg at (0.000, 0.000, 0.000), Hg at (0.166, 0.334, 0.500) and Au at (0.140, 0.640, 0.000).

The total DFT energy (no corrections) is -0.0682 hartree per atom. Its offset from the most stable computed form is 0.000 eV per atom.

[6]
Computed, not measured: a relaxed MgHgAu2 crystal at the PBE level of DFT.

The space group is Imm2 (No. 44) and the conventional cell measures 4.115, 4.206 and 8.742 Å, with angles of 90.00, 90.00 and 90.00 degrees. The asymmetric unit holds Mg at (0.000, 0.000, 0.000), Hg at (0.000, 0.500, 0.249), Au at (0.000, 0.000, 0.499) and Au at (0.000, 0.500, 0.749).

The total DFT energy (no corrections) is -0.0879 hartree per atom.

[7]
Computed, not measured: a relaxed MgHg2Au crystal at the PBE level of DFT.

The space group is Immm (No. 71) and the conventional cell measures 4.330, 4.409 and 8.639 Å, with angles of 90.00, 90.00 and 90.00 degrees. The asymmetric unit holds Mg at (0.000, 0.000, 0.000), Hg at (0.000, 0.500, 0.249) and Au at (0.000, 0.000, 0.500).

The total DFT energy (no corrections) is -0.0554 hartree per atom.

[8]
Computed, not measured: a relaxed Mg2HgAu crystal at the PBE level of DFT.

The space group is F-43m (No. 216) and the conventional cell measures 6.774, 6.774 and 6.774 Å, with angles of 90.00, 90.00 and 90.00 degrees. The asymmetric unit holds Mg at (0.000, 0.000, 0.000), Mg at (0.250, 0.250, 0.250), Hg at (0.250, 0.250, 0.750) and Au at (0.000, 0.000, 0.500).

The total DFT energy (no corrections) is -0.0706 hartree per atom.

Please write out number 5 again, unchanged.
Computed, not measured: a relaxed MgHg2Au2 crystal at the PBE level of DFT.

The space group is P4/mbm (No. 127) and the conventional cell measures 7.223, 7.223 and 4.100 Å, with angles of 90.00, 90.00 and 90.00 degrees. The asymmetric unit holds Mg at (0.000, 0.000, 0.000), Hg at (0.166, 0.334, 0.500) and Au at (0.140, 0.640, 0.000).

The total DFT energy (no corrections) is -0.0682 hartree per atom. Its offset from the most stable computed form is 0.000 eV per atom.

Question: Which value of total DFT energy (no corrections) does entry 4 give?
Answer: -0.0585 hartree per atom

Question: Which formula does entry 8 have?
Answer: Mg2HgAu